(1)
An optimized crystal structure of PrVRh. Source: the Alexandria database, functional PBE.

Unit cell a=4.898 b=3.466 c=10.368 alpha=90.00 beta=90.00 gamma=134.96
Positions (direct):
V: 0.194 0.389 0.097
Rh: 0.194 0.389 0.500
Pr: 0.694 0.389 0.328
V: 0.194 0.389 0.903
Pr: 0.694 0.389 0.672
Rh: 0.694 0.389 0.000

Total moment, μB per formula unit: 0.0
DOS(E_F), states/eV/cell: 5.24
Raw total energy, eV/atom: -7.14
Formation enthalpy at 0 K, meV/atom: -59


(2)
An optimized crystal structure of Ho2HfS5. Source: the Alexandria database, functional PBE.

Unit cell a=5.171 b=7.023 c=12.705 alpha=90.00 beta=90.00 gamma=111.60
Positions (direct):
Ho: 0.855 0.709 0.439
Hf: 0.191 0.382 0.250
S: 0.049 0.097 0.377
Ho: 0.145 0.291 0.561
S: 0.692 0.383 0.916
Ho: 0.145 0.291 0.939
S: 0.308 0.617 0.084
S: 0.692 0.383 0.584
S: 0.951 0.903 0.877
S: 0.049 0.097 0.123
S: 0.263 0.527 0.750
Hf: 0.809 0.618 0.750
S: 0.737 0.473 0.250
Ho: 0.855 0.709 0.061
S: 0.308 0.617 0.416
S: 0.951 0.903 0.623

Total moment, μB per formula unit: 0.0
Formation energy (no corrections), eV/atom: -1.829
DOS(E_F), states/eV/cell: 0.00
Raw total energy, eV/atom: -6.80
ΔE to the lowest computed polymorph, meV per atom: 46


(3)
An optimized crystal structure of BaTcPt. Source: the Alexandria database, functional PBE.

Unit cell a=3.108 b=3.108 c=7.785 alpha=90.00 beta=90.00 gamma=120.00
Positions (direct):
Pt: 0.333 0.667 0.374
Tc: 0.667 0.333 0.625
Ba: 0.000 0.000 0.001

Total moment, μB per formula unit: 0.0
DOS(E_F), states/eV/cell: 5.61
Raw total energy, eV/atom: -5.20
ΔE to the lowest computed polymorph, meV per atom: 779
Formation enthalpy at 0 K, meV/atom: 913


(4)
An optimized crystal structure of NdMg3Pt. Source: the Alexandria database, functional PBE.

Unit cell a=5.628 b=5.916 c=7.649 alpha=90.00 beta=113.69 gamma=90.00
Positions (direct):
Nd: 0.308 0.448 0.665
Mg: 0.731 0.195 0.484
Mg: 0.871 0.448 0.172
Mg: 0.303 0.200 0.076
Nd: 0.727 0.948 0.896
Mg: 0.731 0.700 0.484
Pt: 0.158 0.948 0.745
Pt: 0.876 0.448 0.816
Mg: 0.303 0.695 0.076
Mg: 0.163 0.948 0.388

Total moment, μB per formula unit: 0.0
DOS(E_F), states/eV/cell: 5.04
Raw total energy, eV/atom: -3.64
Formation enthalpy at 0 K, meV/atom: -517


(5)
An optimized crystal structure of Ac2TbNd6. Source: the Alexandria database, functional PBE.

Unit cell a=3.749 b=3.749 c=27.596 alpha=90.00 beta=90.00 gamma=120.00
Positions (direct):
Ac: 0.667 0.333 0.328
Tb: 0.333 0.667 0.000
Nd: 0.333 0.667 0.562
Nd: 0.333 0.667 0.211
Nd: 0.333 0.667 0.789
Ac: 0.667 0.333 0.672
Nd: 0.667 0.333 0.895
Nd: 0.667 0.333 0.105
Nd: 0.333 0.667 0.438

Total moment, μB per formula unit: 0.0
DOS(E_F), states/eV/cell: 15.14
Raw total energy, eV/atom: -4.53
ΔE to the lowest computed polymorph, meV per atom: 0
Formation enthalpy at 0 K, meV/atom: 79


(6)
An optimized crystal structure of TbInAu6. Source: the Alexandria database, functional PBE.

Unit cell a=4.428 b=5.223 c=7.902 alpha=76.32 beta=73.73 gamma=64.92
Positions (direct):
Tb: 0.000 0.500 0.500
Au: 0.256 0.858 0.631
Au: 0.744 0.142 0.369
Au: 0.755 0.610 0.880
Au: 0.511 0.230 0.748
Au: 0.489 0.770 0.252
In: 0.000 0.000 0.000
Au: 0.245 0.390 0.120

Total moment, μB per formula unit: 0.0
DOS(E_F), states/eV/cell: 2.62
Raw total energy, eV/atom: -3.78
Formation enthalpy at 0 K, meV/atom: -404


(7)
An optimized crystal structure of Dy2HoTl4. Source: the Alexandria database, functional PBE.

Unit cell a=6.473 b=6.473 c=6.473 alpha=109.16 beta=109.63 gamma=109.63
Positions (direct):
Ho: 0.000 0.000 0.000
Tl: 0.000 0.000 0.500
Dy: 0.500 0.500 0.000
Tl: 0.500 0.000 0.000
Dy: 0.500 0.000 0.500
Tl: 0.000 0.500 0.000
Tl: 0.500 0.500 0.500

Total moment, μB per formula unit: 0.0
DOS(E_F), states/eV/cell: 6.34
Raw total energy, eV/atom: -3.54
Formation enthalpy at 0 K, meV/atom: -221


(8)
An optimized crystal structure of MgAsRu2. Source: the Alexandria database, functional PBE.

Unit cell a=7.179 b=7.179 c=5.744 alpha=51.33 beta=51.33 gamma=90.00
Positions (direct):
Ru: 0.375 0.308 0.750
Mg: 0.250 0.750 0.500
Ru: 0.875 0.942 0.750
Ru: 0.692 0.125 0.250
As: 0.750 0.250 0.500
As: 0.000 0.000 0.000
Mg: 0.500 0.500 0.000
Ru: 0.058 0.625 0.250

Total moment, μB per formula unit: 0.0
DOS(E_F), states/eV/cell: 6.32
Raw total energy, eV/atom: -5.98
Formation enthalpy at 0 K, meV/atom: 221


(9)
An optimized crystal structure of NaHg2Br5. Source: the Alexandria database, functional PBE.

Unit cell a=8.168 b=7.908 c=7.111 alpha=62.53 beta=62.11 gamma=91.47
Positions (direct):
Br: 0.899 0.297 0.722
Br: 0.606 0.681 0.217
Br: 0.319 0.210 0.930
Br: 0.206 0.704 0.920
Br: 0.727 0.036 0.448
Hg: 0.523 0.986 0.005
Hg: 0.974 0.357 0.269
Na: 0.971 0.952 0.043

Total moment, μB per formula unit: 0.0
Formation energy (no corrections), eV/atom: -0.686
DOS(E_F), states/eV/cell: 0.00
Raw total energy, eV/atom: -1.97
ΔE to the lowest computed polymorph, meV per atom: 0


(10)
An optimized crystal structure of RbCoHg2. Source: the Alexandria database, functional PBE.

Unit cell a=5.394 b=5.394 c=5.394 alpha=60.00 beta=60.00 gamma=60.00
Site moments in Bohr magnetons follow the coordinates.
Positions (direct):
Hg: 0.750 0.750 0.750  -0.01
Rb: 0.500 0.500 0.500  -0.02
Hg: 0.250 0.250 0.250  -0.01
Co: 0.000 0.000 0.000  1.92

Total moment, μB per formula unit: 1.7
DOS(E_F), states/eV/cell: 12.01
Raw total energy, eV/atom: -1.57
ΔE to the lowest computed polymorph, meV per atom: 251
Formation enthalpy at 0 K, meV/atom: 597